A plane-wave DFT calculation with PBE was carried out for crystalline PaNiSnPt at its relaxed geometry.

Cell: 4.7762 4.7762 4.7762 Å, 60.00 60.00 60.00°
Closest atoms and distances in Å follow each position.
Sites, in units of the cell vectors:
Ni 0.2500 0.2500 0.2500  4 Sn 2.92, 4 Pa 2.92
Pa 0.5000 0.5000 0.5000  4 Pt 2.92, 4 Ni 2.92
Sn 0.0000 0.0000 0.0000  4 Ni 2.92, 4 Pt 2.92
Pt 0.7500 0.7500 0.7500  4 Pa 2.92, 4 Sn 2.92

## Properties
Formation energy from the elements (eV per atom): -0.576
V (A^3/atom): 19.26
M_tot (μB per cell): 0.00
Fermi-level density of states (states/eV/cell): 4.9
VASP energy (eV per atom): -6.91